(1)
Compound: NbHgS2
Source: Alexandria
Functional: PBE-GGA
Structure: optimized geometry

Summary:
Total magnetization: 0.00 μB per cell
E_form (uncorrected): -352 meV per atom
SG: R3m, No. 160

Cell: 10.2093 10.2093 10.2093 Å, 22.18 22.18 22.18°
Atoms (fractional coordinates):
S 0.0814 0.0814 0.0814
S 0.6474 0.6474 0.6474
Nb 0.0091 0.0091 0.0091
Hg 0.5131 0.5131 0.5131

---

(2)
Compound: NaBeCo2B
Source: Alexandria
Functional: PBE-GGA
Structure: optimized geometry

Summary:
Total magnetization: 2.80 μB per cell
Raw total energy: -2.72 eV/atom
SG: P4/mmm, No. 123

Cell: 4.2896 4.1034 4.2896 Å, 90.00 90.00 90.00°
Site moments in Bohr magnetons follow the coordinates.
Atoms (fractional coordinates):
Na 0.0000 0.0000 0.0000  -0.03
B 0.0000 0.5000 0.0000  -0.07
Co 0.0000 0.0000 0.5000  1.62
Co 0.5000 0.0000 0.0000  1.52
Be 0.5000 0.5000 0.5000  -0.03